(1)
# NpSi3Os3, relaxed, DFT PBE-GGA
data_NpSi3Os3
_cell_length_a 6.531
_cell_length_b 6.531
_cell_length_c 6.531
_cell_angle_alpha 90.00
_cell_angle_beta 90.00
_cell_angle_gamma 90.00
_space_group_name_H-M_alt 'P 1'
_space_group_IT_number 1
_space_group_name_Hall 'P 1'
loop_
_atom_site_label
_atom_site_type_symbol
_atom_site_fract_x
_atom_site_fract_y
_atom_site_fract_z
_atom_site_occupancy
Os1 Os 0.750 0.500 0.000 1
Os2 Os 0.500 0.000 0.250 1
Np1 Np 0.000 0.000 0.000 1
Os3 Os 0.000 0.750 0.500 1
Si1 Si 0.750 0.000 0.500 1
Si2 Si 0.500 0.750 0.000 1
Si3 Si 0.000 0.500 0.250 1
Si4 Si 0.500 0.250 0.000 1
Os4 Os 0.250 0.500 0.000 1
Os5 Os 0.500 0.000 0.750 1
Np2 Np 0.500 0.500 0.500 1
Si5 Si 0.000 0.500 0.750 1
Si6 Si 0.250 0.000 0.500 1
Os6 Os 0.000 0.250 0.500 1
# - Energy: -121.3 eV for the cell shown
# - Space group: Pm-3n
# - Total magnetization: 8.66 μB per cell

(2)
# NpSi3Os5, relaxed, DFT PBE-GGA
data_NpSi3Os5
_cell_length_a 2.909
_cell_length_b 6.818
_cell_length_c 14.265
_cell_angle_alpha 90.00
_cell_angle_beta 90.00
_cell_angle_gamma 102.32
_space_group_name_H-M_alt 'P 1'
_space_group_IT_number 1
_space_group_name_Hall 'P 1'
loop_
_atom_site_label
_atom_site_type_symbol
_atom_site_fract_x
_atom_site_fract_y
_atom_site_fract_z
_atom_site_occupancy
Si1 Si 0.633 0.266 0.443 1
Os1 Os 0.531 0.062 0.844 1
Si2 Si 0.367 0.734 0.557 1
Os2 Os 0.808 0.615 0.419 1
Os3 Os 0.192 0.385 0.919 1
Os4 Os 0.469 0.938 0.344 1
Os5 Os 0.192 0.385 0.581 1
Os6 Os 0.000 0.000 0.500 1
Os7 Os 0.531 0.062 0.656 1
Si3 Si 0.367 0.734 0.943 1
Si4 Si 0.145 0.291 0.750 1
Si5 Si 0.855 0.709 0.250 1
Si6 Si 0.633 0.266 0.057 1
Os8 Os 0.000 0.000 0.000 1
Np1 Np 0.153 0.307 0.250 1
Os9 Os 0.808 0.615 0.081 1
Np2 Np 0.847 0.693 0.750 1
Os10 Os 0.469 0.938 0.156 1
# - Energy: -172.0 eV for the cell shown
# - Space group: Cmcm
# - Total magnetization: 7.92 μB per cell

(3)
# Np3Si4Os2, relaxed, DFT PBE-GGA
data_Np3Si4Os2
_cell_length_a 4.197
_cell_length_b 5.617
_cell_length_c 7.882
_cell_angle_alpha 104.34
_cell_angle_beta 90.00
_cell_angle_gamma 111.94
_space_group_name_H-M_alt 'P 1'
_space_group_IT_number 1
_space_group_name_Hall 'P 1'
loop_
_atom_site_label
_atom_site_type_symbol
_atom_site_fract_x
_atom_site_fract_y
_atom_site_fract_z
_atom_site_occupancy
Si1 Si 0.721 0.443 0.077 1
Os1 Os 0.690 0.380 0.366 1
Os2 Os 0.310 0.620 0.634 1
Si2 Si 0.279 0.557 0.923 1
Si3 Si 0.906 0.812 0.592 1
Np1 Np 0.608 0.217 0.706 1
Np2 Np 0.392 0.783 0.294 1
Np3 Np 0.000 0.000 0.000 1
Si4 Si 0.094 0.188 0.408 1
# - Energy: -85.6 eV for the cell shown
# - Space group: C2/m
# - Total magnetization: 11.00 μB per cell

(4)
# NpSiOs, relaxed, DFT PBE-GGA
data_NpSiOs
_cell_length_a 3.256
_cell_length_b 4.325
_cell_length_c 4.325
_cell_angle_alpha 120.00
_cell_angle_beta 90.00
_cell_angle_gamma 90.00
_space_group_name_H-M_alt 'P 1'
_space_group_IT_number 1
_space_group_name_Hall 'P 1'
loop_
_atom_site_label
_atom_site_type_symbol
_atom_site_fract_x
_atom_site_fract_y
_atom_site_fract_z
_atom_site_occupancy
Si1 Si 0.167 0.000 0.000 1
Np1 Np 0.667 0.667 0.333 1
Os1 Os 0.167 0.333 0.667 1
# - Energy: -30.2 eV for the cell shown
# - Space group: P-6m2
# - Total magnetization: 2.31 μB per cell

(5)
# NpSiOs, relaxed, DFT PBE-GGA
data_NpSiOs
_cell_length_a 4.216
_cell_length_b 6.641
_cell_length_c 7.391
_cell_angle_alpha 90.00
_cell_angle_beta 90.00
_cell_angle_gamma 90.00
_space_group_name_H-M_alt 'P 1'
_space_group_IT_number 1
_space_group_name_Hall 'P 1'
loop_
_atom_site_label
_atom_site_type_symbol
_atom_site_fract_x
_atom_site_fract_y
_atom_site_fract_z
_atom_site_occupancy
Os1 Os 0.750 0.569 0.366 1
Np1 Np 0.750 0.150 0.509 1
Si1 Si 0.750 0.616 0.696 1
Np2 Np 0.750 0.350 0.009 1
Si2 Si 0.250 0.116 0.804 1
Np3 Np 0.250 0.650 0.991 1
Os2 Os 0.250 0.069 0.134 1
Os3 Os 0.750 0.931 0.866 1
Si3 Si 0.750 0.884 0.196 1
Np4 Np 0.250 0.850 0.491 1
Os4 Os 0.250 0.431 0.634 1
Si4 Si 0.250 0.384 0.304 1
# - Energy: -122.8 eV for the cell shown
# - Space group: Pnma
# - Total magnetization: 12.42 μB per cell

(6)
# NpSiOs2, relaxed, DFT PBE-GGA
data_NpSiOs2
_cell_length_a 4.029
_cell_length_b 4.029
_cell_length_c 5.422
_cell_angle_alpha 68.19
_cell_angle_beta 68.19
_cell_angle_gamma 60.00
_space_group_name_H-M_alt 'P 1'
_space_group_IT_number 1
_space_group_name_Hall 'P 1'
loop_
_atom_site_label
_atom_site_type_symbol
_atom_site_fract_x
_atom_site_fract_y
_atom_site_fract_z
_atom_site_occupancy
Os1 Os 0.777 0.777 0.668 1
Os2 Os 0.223 0.223 0.332 1
Np1 Np 0.000 0.000 0.000 1
Si1 Si 0.500 0.500 0.500 1
# - Energy: -40.5 eV for the cell shown
# - Energy relative to the lowest polymorph listed for this composition: 0.146 eV per atom
# - Space group: R-3m
# - Total magnetization: 2.25 μB per cell

(7)
# NpSi2Tc2Os, relaxed, DFT PBE-GGA
data_NpSi2Tc2Os
_cell_length_a 4.119
_cell_length_b 5.949
_cell_length_c 7.617
_cell_angle_alpha 90.00
_cell_angle_beta 90.00
_cell_angle_gamma 90.00
_space_group_name_H-M_alt 'P 1'
_space_group_IT_number 1
_space_group_name_Hall 'P 1'
loop_
_atom_site_label
_atom_site_type_symbol
_atom_site_fract_x
_atom_site_fract_y
_atom_site_fract_z
_atom_site_occupancy
Tc1 Tc 0.500 0.033 0.055 1
Si1 Si 0.000 0.755 0.097 1
Os1 Os 0.500 0.675 0.304 1
Np1 Np 0.000 0.455 0.566 1
Np2 Np 0.000 0.955 0.434 1
Si2 Si 0.000 0.255 0.903 1
Os2 Os 0.500 0.175 0.696 1
Tc2 Tc 0.000 0.870 0.803 1
Si3 Si 0.500 0.757 0.661 1
Tc3 Tc 0.500 0.533 0.945 1
Tc4 Tc 0.000 0.370 0.197 1
Si4 Si 0.500 0.257 0.339 1
# - Energy: -114.2 eV for the cell shown
# - Space group: Pmc2_1
# - Total magnetization: 4.73 μB per cell

(8)
# NpSiTcOs, relaxed, DFT PBE-GGA
data_NpSiTcOs
_cell_length_a 4.517
_cell_length_b 4.517
_cell_length_c 4.517
_cell_angle_alpha 60.00
_cell_angle_beta 60.00
_cell_angle_gamma 60.00
_space_group_name_H-M_alt 'P 1'
_space_group_IT_number 1
_space_group_name_Hall 'P 1'
loop_
_atom_site_label
_atom_site_type_symbol
_atom_site_fract_x
_atom_site_fract_y
_atom_site_fract_z
_atom_site_occupancy
Tc1 Tc 0.000 0.000 0.000 1
Os1 Os 0.500 0.500 0.500 1
Np1 Np 0.250 0.250 0.250 1
Si1 Si 0.750 0.750 0.750 1
# - Energy: -40.2 eV for the cell shown
# - Space group: F-43m
# - Total magnetization: 2.61 μB per cell

(9)
# NpVSi2Os, relaxed, DFT PBE-GGA
data_NpVSi2Os
_cell_length_a 3.946
_cell_length_b 3.946
_cell_length_c 5.988
_cell_angle_alpha 109.24
_cell_angle_beta 109.24
_cell_angle_gamma 90.00
_space_group_name_H-M_alt 'P 1'
_space_group_IT_number 1
_space_group_name_Hall 'P 1'
loop_
_atom_site_label
_atom_site_type_symbol
_atom_site_fract_x
_atom_site_fract_y
_atom_site_fract_z
_atom_site_occupancy
Np1 Np 0.000 0.000 0.000 1
Si1 Si 0.387 0.387 0.775 1
V1 V 0.750 0.250 0.500 1
Os1 Os 0.250 0.750 0.500 1
Si2 Si 0.613 0.613 0.225 1
# - Energy: -46.1 eV for the cell shown
# - Space group: I-4m2
# - Total magnetization: 4.26 μB per cell

(10)
# SmNpOs4, relaxed, DFT PBE-GGA
data_SmNpOs4
_cell_length_a 5.370
_cell_length_b 5.370
_cell_length_c 5.370
_cell_angle_alpha 60.00
_cell_angle_beta 60.00
_cell_angle_gamma 60.00
_space_group_name_H-M_alt 'P 1'
_space_group_IT_number 1
_space_group_name_Hall 'P 1'
loop_
_atom_site_label
_atom_site_type_symbol
_atom_site_fract_x
_atom_site_fract_y
_atom_site_fract_z
_atom_site_occupancy
Os1 Os 0.125 0.625 0.625 1
Sm1 Sm 0.000 0.000 0.000 1
Os2 Os 0.625 0.625 0.125 1
Os3 Os 0.625 0.625 0.625 1
Np1 Np 0.250 0.250 0.250 1
Os4 Os 0.625 0.125 0.625 1
# - Energy: -62.9 eV for the cell shown
# - Space group: F-43m
# - Total magnetization: 2.86 μB per cell

(11)
# Sm3NpOs8, relaxed, DFT PBE-GGA
data_Sm3NpOs8
_cell_length_a 5.386
_cell_length_b 5.386
_cell_length_c 9.343
_cell_angle_alpha 73.31
_cell_angle_beta 73.31
_cell_angle_gamma 60.04
_space_group_name_H-M_alt 'P 1'
_space_group_IT_number 1
_space_group_name_Hall 'P 1'
loop_
_atom_site_label
_atom_site_type_symbol
_atom_site_fract_x
_atom_site_fract_y
_atom_site_fract_z
_atom_site_occupancy
Np1 Np 0.875 0.875 0.375 1
Sm1 Sm 0.000 0.000 0.000 1
Os1 Os 0.437 0.437 0.190 1
Sm2 Sm 0.500 0.500 0.500 1
Os2 Os 0.936 0.437 0.190 1
Os3 Os 0.441 0.937 0.685 1
Os4 Os 0.937 0.937 0.684 1
Os5 Os 0.437 0.936 0.190 1
Os6 Os 0.187 0.187 0.437 1
Sm3 Sm 0.375 0.375 0.875 1
Os7 Os 0.687 0.687 0.939 1
Os8 Os 0.937 0.441 0.685 1
# - Energy: -118.2 eV for the cell shown
# - Space group: Cm
# - Total magnetization: 2.13 μB per cell

(12)
# NpSnOs, relaxed, DFT PBE-GGA
data_NpSnOs
_cell_length_a 3.201
_cell_length_b 3.201
_cell_length_c 6.388
_cell_angle_alpha 104.51
_cell_angle_beta 104.51
_cell_angle_gamma 90.00
_space_group_name_H-M_alt 'P 1'
_space_group_IT_number 1
_space_group_name_Hall 'P 1'
loop_
_atom_site_label
_atom_site_type_symbol
_atom_site_fract_x
_atom_site_fract_y
_atom_site_fract_z
_atom_site_occupancy
Np1 Np 0.018 0.018 0.036 1
Os1 Os 0.669 0.669 0.338 1
Sn1 Sn 0.313 0.313 0.626 1
# - Energy: -27.8 eV for the cell shown
# - Space group: I4mm
# - Total magnetization: 3.32 μB per cell